Density functional theory data (PBE) for a relaxed Pa2InHg crystal.

```
4
Lattice="0.000 3.740 3.740 3.740 0.000 3.740 3.740 3.740 0.000" Properties=species:S:1:pos:R:3 pbc="T T T"
Pa 1.870 1.870 1.870
Pa 5.610 5.610 5.610
In 0.000 0.000 0.000
Hg 3.740 3.740 3.740
```

**Calculated volume**: 26.16 Å³ per atom
**VASP energy**: -5.240 eV per atom
**Energy above the most stable polymorph in this dataset**: 311 meV/atom
**SG**: Fm-3m (225)
**Fermi-level density of states**: 11.596 states/eV/f.u.
**Calculated formation energy**: 268 meV per atom

Density functional theory data (PBE) for a relaxed K2CdSb2Pb crystal.

```
12
Lattice="-3.608 8.289 3.650 3.608 -8.289 3.650 3.608 8.289 -3.650" Properties=species:S:1:pos:R:3 pbc="T T T"
K 1.755 2.847 0.000
K 1.755 -2.847 3.650
K 1.853 11.137 0.000
K 1.853 5.442 3.650
Cd 3.608 0.000 1.825
Cd 0.000 8.289 1.825
Sb 5.218 1.790 0.000
Sb 1.610 6.499 0.000
Sb 1.998 1.790 3.650
Sb -1.610 6.499 3.650
Pb 0.000 0.000 1.825
Pb 0.000 0.000 5.475
```

**Calculated volume**: 36.39 Å³ per atom
**VASP energy**: -2.847 eV per atom
**SG**: Ibam (72)
**Fermi-level density of states**: 0.363 states/eV/f.u.
**Uncorrected formation energy**: -336.1 meV/atom

Density functional theory data (PBE) for a relaxed HfAg3Sb crystal.

```
5
Lattice="5.101 0.000 0.000 0.000 5.101 0.000 0.000 0.000 5.101" Properties=species:S:1:pos:R:3 pbc="T T T"
Hf 0.000 0.000 0.000
Ag 0.000 2.550 2.550
Ag 2.550 0.000 2.550
Ag 2.550 2.550 0.000
Sb 2.550 2.550 2.550
```

**Calculated volume**: 26.54 Å³ per atom
**VASP energy**: -3.525 eV per atom
**Energy above the most stable polymorph in this dataset**: 0 meV/atom
**SG**: Pm-3m (221)
**Fermi-level density of states**: 5.846 states/eV/f.u.
**Uncorrected formation energy**: 1001.4 meV/atom

Density functional theory data (PBE) for a relaxed YMnOs2 crystal.

```
4
Lattice="4.619 -1.486 0.000 4.619 1.486 0.000 -1.412 0.000 4.975" Properties=species:S:1:pos:R:3 pbc="T T T"
Y 0.000 0.000 0.000
Mn 3.913 0.000 2.488
Os 1.130 0.000 3.435
Os 6.696 0.000 1.541
```

**Calculated volume**: 17.08 Å³ per atom
**VASP energy**: -9.270 eV per atom
**Energy above the most stable polymorph in this dataset**: 115 meV/atom
**SG**: C2/m (12)
**Fermi-level density of states**: 3.790 states/eV/f.u.
**Calculated formation energy**: 254 meV per atom

Density functional theory data (PBE) for a relaxed SrSeO crystal.

```
6
Lattice="3.112 -2.647 0.000 3.112 2.647 0.000 -2.445 0.000 8.332" Properties=species:S:1:pos:R:3 pbc="T T T"
Sr 0.055 0.000 2.753
Sr 3.724 0.000 5.579
Se 0.844 0.000 7.054
Se 2.936 0.000 1.278
O 0.002 0.000 5.207
O 3.777 0.000 3.125
```

**Calculated volume**: 22.87 Å³ per atom
**VASP energy**: -5.076 eV per atom
**SG**: C2/m (12)
**Uncorrected formation energy**: -1700.9 meV/atom

Density functional theory data (PBE) for a relaxed HfUNb crystal.

```
3
Lattice="4.957 0.000 0.000 -2.478 4.293 0.000 0.000 0.000 2.864" Properties=species:S:1:pos:R:3 pbc="T T T"
Hf 0.000 0.000 0.000
U 0.000 2.862 0.000
Nb 2.478 1.431 1.432
```

**Calculated volume**: 20.31 Å³ per atom
**VASP energy**: -10.189 eV per atom
**Energy above the most stable polymorph in this dataset**: 26 meV/atom
**SG**: P-6m2 (187)
**Fermi-level density of states**: 5.061 states/eV/f.u.
**Calculated formation energy**: 248 meV per atom

Density functional theory data (PBE) for a relaxed BaDyAg2Te4 crystal.

```
8
Lattice="-3.765 4.038 4.492 3.765 -4.038 4.492 3.765 4.038 -4.492" Properties=species:S:1:pos:R:3 pbc="T T T"
Ba 0.000 0.000 0.000
Dy 0.000 0.000 4.492
Ag 3.765 0.000 2.953
Ag 0.000 4.038 1.538
Te 2.130 2.273 -1.746
Te 5.400 2.273 1.746
Te 1.635 1.765 2.746
Te -1.635 1.765 6.238
```

**Calculated volume**: 34.14 Å³ per atom
**VASP energy**: -3.886 eV per atom
**SG**: I222 (23)
**Fermi-level density of states**: 2.619 states/eV/f.u.
**Uncorrected formation energy**: -786.9 meV/atom

Density functional theory data (PBE) for a relaxed U3P3Rh2 crystal.

```
16
Lattice="2.019 -5.228 0.000 2.019 5.228 0.000 0.000 0.000 13.599" Properties=species:S:1:pos:R:3 pbc="T T T"
U 2.019 4.531 8.288
U 2.019 4.531 12.112
U 2.019 1.421 10.200
U 2.019 -1.421 3.400
U 2.019 -4.531 1.488
U 2.019 -4.531 5.312
P 2.019 1.484 3.400
P 2.019 1.238 7.385
P 2.019 1.238 13.014
P 2.019 -1.238 0.585
P 2.019 -1.238 6.214
P 2.019 -1.484 10.200
Rh 2.019 2.906 1.381
Rh 2.019 2.906 5.419
Rh 2.019 -2.906 8.180
Rh 2.019 -2.906 12.219
```

**Calculated volume**: 17.94 Å³ per atom
**VASP energy**: -8.912 eV per atom
**SG**: Cmcm (63)
**Fermi-level density of states**: 13.409 states/eV/f.u.
**Calculated formation energy**: -812 meV per atom

Density functional theory data (PBE) for a relaxed PRhI crystal.

```
3
Lattice="3.695 0.000 0.000 1.846 3.201 0.000 0.015 0.027 5.551" Properties=species:S:1:pos:R:3 pbc="T T T"
P 0.000 0.000 0.000
Rh 3.693 2.133 0.971
I 1.845 1.065 2.823
```

**Calculated volume**: 21.88 Å³ per atom
**VASP energy**: -4.886 eV per atom
**Energy above the most stable polymorph in this dataset**: 29 meV/atom
**SG**: P1 (1)
**Fermi-level density of states**: 1.940 states/eV/f.u.
**Uncorrected formation energy**: -115.3 meV/atom

Density functional theory data (PBE) for a relaxed Ce2PrCuN4 crystal.

```
16
Lattice="1.777 -5.782 0.000 1.777 5.782 0.000 0.000 0.000 11.663" Properties=species:S:1:pos:R:3 pbc="T T T"
Ce 1.777 4.265 6.497
Ce 1.777 4.265 10.998
Ce 1.777 -4.265 0.665
Ce 1.777 -4.265 5.166
Pr 1.777 1.197 8.747
Pr 1.777 -1.197 2.916
Cu 1.777 1.854 2.916
Cu 1.777 -1.854 8.747
N 1.777 5.190 8.747
N 1.777 3.064 1.325
N 1.777 3.064 4.506
N 1.777 0.000 0.000
N 1.777 0.000 5.832
N 1.777 -3.064 7.157
N 1.777 -3.064 10.338
N 1.777 -5.190 2.916
```

**Calculated volume**: 14.98 Å³ per atom
**VASP energy**: -7.866 eV per atom
**SG**: Cmcm (63)
**Uncorrected formation energy**: -1110.3 meV/atom

Density functional theory data (PBE) for a relaxed Ac7Sn2Pb2 crystal.

```
11
Lattice="4.734 -6.152 0.000 4.734 6.152 0.000 0.000 0.000 7.953" Properties=species:S:1:pos:R:3 pbc="T T T"
Ac 0.000 0.000 0.000
Ac 2.367 3.076 2.243
Ac 2.367 3.076 5.710
Ac 2.367 -3.076 2.243
Ac 2.367 -3.076 5.710
Ac 4.734 0.000 2.023
Ac 4.734 0.000 5.931
Sn 4.734 2.771 0.000
Sn 4.734 -2.771 0.000
Pb 1.684 0.000 3.977
Pb 7.783 0.000 3.977
```

**Calculated volume**: 42.11 Å³ per atom
**VASP energy**: -4.260 eV per atom
**SG**: Cmmm (65)
**Fermi-level density of states**: 13.726 states/eV/f.u.
**Calculated formation energy**: -244 meV per atom

Density functional theory data (PBE) for a relaxed PaRuO5 crystal.

```
14
Lattice="4.404 -3.242 0.000 4.404 3.242 0.000 -3.198 0.000 6.821" Properties=species:S:1:pos:R:3 pbc="T T T"
Pa 2.005 2.953 5.116
Pa 3.604 -2.953 1.705
Ru 4.404 0.000 0.000
Ru 2.805 0.000 3.411
O 4.199 1.938 0.216
O 3.009 1.938 3.195
O 1.049 0.174 2.553
O -0.550 -0.174 5.963
O 2.005 0.496 5.116
O 3.604 -0.496 1.705
O 6.159 0.174 0.858
O 4.560 -0.174 4.269
O 2.600 -1.938 3.627
O 1.410 -1.938 6.605
```

**Calculated volume**: 13.91 Å³ per atom
**VASP energy**: -8.390 eV per atom
**SG**: C2/c (15)
**Fermi-level density of states**: 2.682 states/eV/f.u.
**Uncorrected formation energy**: -2166.7 meV/atom

Density functional theory data (PBE) for a relaxed Pm2ZrIn crystal.

```
4
Lattice="4.741 0.000 0.000 0.000 4.741 0.000 0.000 0.000 4.848" Properties=species:S:1:pos:R:3 pbc="T T T"
Pm 0.000 2.370 0.000
Pm 2.370 0.000 0.000
Zr 0.000 0.000 2.424
In 2.370 2.370 2.424
```

**Calculated volume**: 27.24 Å³ per atom
**VASP energy**: -5.368 eV per atom
**Energy above the most stable polymorph in this dataset**: 0 meV/atom
**SG**: P4/mmm (123)
**Fermi-level density of states**: 4.452 states/eV/f.u.
**Calculated formation energy**: -171 meV per atom

Density functional theory data (PBE) for a relaxed LiNiS2Cl crystal.

```
5
Lattice="4.320 0.000 0.000 0.000 4.320 0.000 0.000 0.000 4.852" Properties=species:S:1:pos:R:3 pbc="T T T"
Li 0.000 0.000 0.000
Ni 2.160 2.160 2.426
S 0.000 2.160 0.000
S 2.160 0.000 0.000
Cl 0.000 0.000 2.426
```

**Calculated volume**: 18.11 Å³ per atom
**VASP energy**: -3.016 eV per atom
**Energy above the most stable polymorph in this dataset**: 784 meV/atom
**SG**: P4/mmm (123)
**Fermi-level density of states**: 4.540 states/eV/f.u.
**Uncorrected formation energy**: 543.1 meV/atom

Density functional theory data (PBE) for a relaxed IrSeI crystal.

```
12
Lattice="6.789 0.000 0.000 0.000 5.757 0.000 -0.183 0.000 7.288" Properties=species:S:1:pos:R:3 pbc="T T T"
Ir 1.424 0.200 2.585
Ir 1.332 2.678 6.229
Ir 5.274 3.079 1.059
Ir 5.182 5.557 4.703
Se 0.303 1.384 0.681
Se 0.211 1.495 4.325
Se 6.395 4.263 2.962
Se 6.303 4.373 6.606
I 2.745 4.267 0.833
I 2.654 4.368 4.477
I 3.952 1.389 2.811
I 3.861 1.490 6.454
```

**Calculated volume**: 23.74 Å³ per atom
**VASP energy**: -4.603 eV per atom
**SG**: P2_1/c (14)
**Fermi-level density of states**: 1.113 states/eV/f.u.
**Uncorrected formation energy**: 28.5 meV/atom

Density functional theory data (PBE) for a relaxed AcTb7Tl4 crystal.

```
12
Lattice="7.302 -2.958 0.000 7.302 2.958 0.000 -5.731 0.000 8.750" Properties=species:S:1:pos:R:3 pbc="T T T"
Ac 0.000 0.000 0.000
Tb -1.375 0.000 3.469
Tb -1.979 0.000 7.695
Tb 2.106 0.000 3.022
Tb 7.302 0.000 0.000
Tb 6.766 0.000 5.728
Tb 10.851 0.000 1.056
Tb 10.247 0.000 5.281
Tl 0.715 0.000 5.841
Tl 5.003 0.000 2.183
Tl 3.869 0.000 6.568
Tl 8.157 0.000 2.909
```

**Calculated volume**: 31.50 Å³ per atom
**VASP energy**: -3.826 eV per atom
**SG**: C2/m (12)
**Fermi-level density of states**: 13.903 states/eV/f.u.
**Calculated formation energy**: 6 meV per atom

Density functional theory data (PBE) for a relaxed Hf6Ga3Sb crystal.

```
20
Lattice="4.707 -6.739 0.000 4.707 6.739 0.000 0.000 0.000 6.739" Properties=species:S:1:pos:R:3 pbc="T T T"
Hf 4.707 6.373 3.369
Hf 2.768 2.701 0.057
Hf 2.662 0.561 2.376
Hf 4.707 2.818 2.605
Hf 2.662 -0.561 5.745
Hf 2.768 -2.701 3.427
Hf 6.646 2.701 0.057
Hf 6.752 0.561 2.376
Hf 4.707 -2.818 5.974
Hf 6.752 -0.561 5.745
Hf 6.646 -2.701 3.427
Hf 4.707 -6.373 0.000
Ga 1.358 1.669 4.685
Ga 1.358 -1.669 1.315
Ga 4.707 0.725 0.478
Ga 4.707 -0.725 3.847
Ga 8.056 1.669 4.685
Ga 8.056 -1.669 1.315
Sb 4.707 4.319 5.241
Sb 4.707 -4.319 1.871
```

**Calculated volume**: 21.38 Å³ per atom
**VASP energy**: -7.505 eV per atom
**SG**: Cmc2_1 (36)
**Fermi-level density of states**: 6.473 states/eV/f.u.
**Uncorrected formation energy**: -212.8 meV/atom

Density functional theory data (PBE) for a relaxed CaB14Mo crystal.

```
32
Lattice="-2.941 5.420 4.118 2.941 -5.420 4.118 2.941 5.420 -4.118" Properties=species:S:1:pos:R:3 pbc="T T T"
Ca 0.000 2.710 1.103
Ca 2.941 2.710 3.015
B 2.941 4.092 -3.081
B 1.494 0.846 -0.389
B 4.388 0.846 -0.389
B 2.941 -0.881 1.399
B 2.941 1.815 0.255
B 2.003 0.684 1.337
B 3.878 0.684 1.337
B 2.941 4.540 -1.399
B 2.941 -1.329 3.081
B 2.941 3.606 0.255
B 1.494 4.575 -0.389
B 1.447 -0.846 3.729
B 2.003 6.104 -1.337
B 0.938 0.684 2.781
B 2.003 4.737 1.337
B 0.938 -0.684 5.456
B 1.494 6.266 0.389
B 1.447 0.846 4.507
B 0.000 1.815 3.863
B 0.000 6.749 1.037
B 0.000 0.881 5.517
B -0.938 4.737 2.781
B 0.938 4.737 2.781
B 0.000 3.606 3.863
B 0.000 6.301 2.719
B -1.447 4.575 4.507
B 1.447 4.575 4.507
B 0.000 1.329 7.199
Mo 1.470 2.710 -2.059
Mo 1.470 -2.710 2.059
```

**Calculated volume**: 8.21 Å³ per atom
**VASP energy**: -6.769 eV per atom
**SG**: Imma (74)
**Fermi-level density of states**: 3.069 states/eV/f.u.
**Calculated formation energy**: -125 meV per atom

Density functional theory data (PBE) for a relaxed Sm5Bi4S crystal.

```
10
Lattice="-4.973 4.973 3.172 4.973 -4.973 3.172 4.973 4.973 -3.172" Properties=species:S:1:pos:R:3 pbc="T T T"
Sm 0.000 0.000 0.000
Sm 5.955 2.166 0.010
Sm 2.166 3.991 0.010
Sm 2.808 0.982 3.182
Sm -0.982 2.808 3.182
Bi 3.018 0.923 0.010
Bi 4.050 -1.955 3.182
Bi 0.923 6.928 0.010
Bi 1.955 4.050 3.182
S 0.000 0.000 3.189
```

**Calculated volume**: 31.37 Å³ per atom
**VASP energy**: -5.420 eV per atom
**Energy above the most stable polymorph in this dataset**: 0 meV/atom
**SG**: I4 (79)
**Fermi-level density of states**: 2.626 states/eV/f.u.
**Uncorrected formation energy**: -1095.5 meV/atom

Density functional theory data (PBE) for a relaxed PIrO2F crystal.

```
5
Lattice="3.342 0.000 0.000 0.000 3.342 0.000 0.000 0.000 5.755" Properties=species:S:1:pos:R:3 pbc="T T T"
P 0.000 0.000 0.000
Ir 1.671 1.671 2.878
O 0.000 1.671 0.000
O 1.671 0.000 0.000
F 0.000 0.000 2.878
```

**Calculated volume**: 12.86 Å³ per atom
**VASP energy**: -5.107 eV per atom
**SG**: P4/mmm (123)
**Fermi-level density of states**: 2.894 states/eV/f.u.
**Uncorrected formation energy**: 104.4 meV/atom

Density functional theory data (PBE) for a relaxed TcTeBr crystal.

```
3
Lattice="-1.612 1.612 7.022 1.612 -1.612 7.022 1.612 1.612 -7.022" Properties=species:S:1:pos:R:3 pbc="T T T"
Tc 0.000 0.000 0.000
Te 0.000 0.000 8.580
Br 0.000 0.000 5.258
```

**Calculated volume**: 24.34 Å³ per atom
**VASP energy**: -4.900 eV per atom
**Energy above the most stable polymorph in this dataset**: 234 meV/atom
**SG**: I4mm (107)
**Fermi-level density of states**: 3.646 states/eV/f.u.
**Uncorrected formation energy**: 160.6 meV/atom

Density functional theory data (PBE) for a relaxed Ni12Sn4H3Pt crystal.

```
20
Lattice="-3.945 3.945 3.945 3.945 -3.945 3.945 3.945 3.945 -3.945" Properties=species:S:1:pos:R:3 pbc="T T T"
Ni 2.383 0.000 0.000
Ni 5.506 0.000 0.000
Ni 3.945 1.972 0.000
Ni 3.945 0.000 1.972
Ni 0.000 2.383 0.000
Ni 0.000 0.000 2.383
Ni 1.972 3.945 0.000
Ni 1.972 0.000 3.945
Ni 0.000 5.506 0.000
Ni 0.000 0.000 5.506
Ni 0.000 3.945 1.972
Ni 0.000 1.972 3.945
Sn 1.972 1.972 -1.972
Sn 1.972 -1.972 1.972
Sn -1.972 1.972 1.972
Sn 1.972 1.972 1.972
H 3.945 0.000 0.000
H 0.000 3.945 0.000
H 0.000 0.000 3.945
Pt 0.000 0.000 0.000
```

**Calculated volume**: 12.28 Å³ per atom
**VASP energy**: -5.087 eV per atom
**SG**: Im-3m (229)
**Fermi-level density of states**: 15.697 states/eV/f.u.